Record 1
The following is a PBE calculation of a relaxed GdHoGe crystal, from OQMD.

```
data_GdHoGe
_cell_length_a 5.0026
_cell_length_b 5.0026
_cell_length_c 5.0026
_cell_angle_alpha 60.00
_cell_angle_beta 60.00
_cell_angle_gamma 60.00
_symmetry_space_group_name_H-M 'P 1'
_symmetry_Int_Tables_number 1
loop_
_symmetry_equiv_pos_as_xyz
'x,y,z'
loop_
_atom_site_label
_atom_site_type_symbol
_atom_site_fract_x
_atom_site_fract_y
_atom_site_fract_z
Ge1 Ge 0.2500 0.2500 0.2500
Gd1 Gd 0.0000 0.0000 0.0000
Ho1 Ho 0.7500 0.7500 0.7500
```

Theoretical density = 7.41 g cm⁻³
Energy above the lowest structure with this stoichiometry = 83.6 kJ/mol of atoms
Energy = -4.283 eV/atom

=====

Record 2
The following is a PBE calculation of a relaxed GdHoGe crystal, from OQMD.

```
data_GdHoGe
_cell_length_a 5.1706
_cell_length_b 5.1706
_cell_length_c 6.3551
_cell_angle_alpha 90.00
_cell_angle_beta 90.00
_cell_angle_gamma 120.00
_symmetry_space_group_name_H-M 'P 1'
_symmetry_Int_Tables_number 1
loop_
_symmetry_equiv_pos_as_xyz
'x,y,z'
loop_
_atom_site_label
_atom_site_type_symbol
_atom_site_fract_x
_atom_site_fract_y
_atom_site_fract_z
Ge1 Ge 0.3333 0.6667 0.7491
Ge2 Ge 0.6667 0.3333 0.2491
Ho1 Ho 0.6667 0.3333 0.7467
Ho2 Ho 0.3333 0.6667 0.2467
Gd1 Gd 0.0000 0.0000 0.9961
Gd2 Gd 0.0000 0.0000 0.4961
```

Theoretical density = 8.91 g cm⁻³
Energy above the lowest structure with this stoichiometry = 0.0 kJ/mol of atoms
Energy = -5.150 eV/atom

=====

Record 3
The following is a PBE calculation of a relaxed Gd2Ho2GeI5 crystal, from OQMD.

```
data_Gd2Ho2GeI5
_cell_length_a 9.8162
_cell_length_b 9.8162
_cell_length_c 8.8673
_cell_angle_alpha 102.35
_cell_angle_beta 102.35
_cell_angle_gamma 24.82
_symmetry_space_group_name_H-M 'P 1'
_symmetry_Int_Tables_number 1
loop_
_symmetry_equiv_pos_as_xyz
'x,y,z'
loop_
_atom_site_label
_atom_site_type_symbol
_atom_site_fract_x
_atom_site_fract_y
_atom_site_fract_z
Gd1 Gd 0.9998 0.9998 0.2130
I1 I 0.1674 0.1674 0.3318
I2 I 0.8326 0.8326 0.6682
Ho1 Ho 0.3548 0.3548 0.9263
Gd2 Gd 0.0002 0.0002 0.7870
I3 I 0.1729 0.1729 0.8355
Ho2 Ho 0.6452 0.6452 0.0737
I4 I 0.5000 0.5000 0.5000
I5 I 0.8271 0.8271 0.1645
Ge1 Ge 0.5000 0.5000 0.0000
```

Theoretical density = 6.41 g cm⁻³
Energy = -4.266 eV/atom

=====

Record 4
The following is a PBE calculation of a relaxed GdHo2NiGe3Ir2 crystal, from OQMD.

```
data_GdHo2NiGe3Ir2
_cell_length_a 3.8693
_cell_length_b 7.0778
_cell_length_c 7.0778
_cell_angle_alpha 120.35
_cell_angle_beta 90.00
_cell_angle_gamma 90.00
_symmetry_space_group_name_H-M 'P 1'
_symmetry_Int_Tables_number 1
loop_
_symmetry_equiv_pos_as_xyz
'x,y,z'
loop_
_atom_site_label
_atom_site_type_symbol
_atom_site_fract_x
_atom_site_fract_y
_atom_site_fract_z
Ge1 Ge 0.5000 0.7514 0.7514
Ho1 Ho 0.0000 0.0002 0.5987
Ni1 Ni 0.0000 0.9971 0.9971
Gd1 Gd 0.0000 0.4035 0.4035
Ir1 Ir 0.5000 0.3317 0.6692
Ho2 Ho 0.0000 0.5987 0.0002
Ge2 Ge 0.5000 0.2487 0.9994
Ge3 Ge 0.5000 0.9994 0.2487
Ir2 Ir 0.5000 0.6692 0.3317
```

Theoretical density = 11.40 g cm⁻³
Energy = -6.463 eV/atom

=====

Record 5
The following is a PBE calculation of a relaxed GdHoNi2Ge crystal, from OQMD.

```
data_GdHoNi2Ge
_cell_length_a 3.6166
_cell_length_b 6.9193
_cell_length_c 6.9193
_cell_angle_alpha 33.30
_cell_angle_beta 90.00
_cell_angle_gamma 90.00
_symmetry_space_group_name_H-M 'P 1'
_symmetry_Int_Tables_number 1
loop_
_symmetry_equiv_pos_as_xyz
'x,y,z'
loop_
_atom_site_label
_atom_site_type_symbol
_atom_site_fract_x
_atom_site_fract_y
_atom_site_fract_z
Ni1 Ni 0.5000 0.8062 0.8062
Ge1 Ge 0.5000 0.9985 0.9985
Ni2 Ni 0.5000 0.1961 0.1961
Gd1 Gd 0.0000 0.6287 0.6287
Ho1 Ho 0.0000 0.3704 0.3704
```

Theoretical density = 8.95 g cm⁻³
Energy = -5.593 eV/atom

=====

Record 6
The following is a PBE calculation of a relaxed GdHoNi2Ge4 crystal, from OQMD.

```
data_GdHoNi2Ge4
_cell_length_a 4.1919
_cell_length_b 8.5737
_cell_length_c 8.5737
_cell_angle_alpha 27.85
_cell_angle_beta 90.00
_cell_angle_gamma 90.00
_symmetry_space_group_name_H-M 'P 1'
_symmetry_Int_Tables_number 1
loop_
_symmetry_equiv_pos_as_xyz
'x,y,z'
loop_
_atom_site_label
_atom_site_type_symbol
_atom_site_fract_x
_atom_site_fract_y
_atom_site_fract_z
Ni1 Ni 0.0000 0.3205 0.3205
Gd1 Gd 0.0000 0.1078 0.1078
Ge1 Ge 0.0000 0.4582 0.4582
Ge2 Ge 0.5000 0.2515 0.2515
Ho1 Ho 0.5000 0.8918 0.8918
Ge3 Ge 0.0000 0.7493 0.7493
Ge4 Ge 0.5000 0.5412 0.5412
Ni2 Ni 0.5000 0.6798 0.6798
```

Theoretical density = 8.42 g cm⁻³
Energy = -5.564 eV/atom

=====

Record 7
The following is a PBE calculation of a relaxed GdHoGe2Os crystal, from OQMD.

```
data_GdHoGe2Os
_cell_length_a 5.8127
_cell_length_b 5.8127
_cell_length_c 10.1797
_cell_angle_alpha 115.95
_cell_angle_beta 115.95
_cell_angle_gamma 43.47
_symmetry_space_group_name_H-M 'P 1'
_symmetry_Int_Tables_number 1
loop_
_symmetry_equiv_pos_as_xyz
'x,y,z'
loop_
_atom_site_label
_atom_site_type_symbol
_atom_site_fract_x
_atom_site_fract_y
_atom_site_fract_z
Ge1 Ge 0.1427 0.1427 0.0627
Ho1 Ho 0.4977 0.4977 0.8266
Gd1 Gd 0.3150 0.3150 0.3862
Ge2 Ge 0.9891 0.9891 0.6267
Ge3 Ge 0.0109 0.0109 0.3733
Ge4 Ge 0.8573 0.8573 0.9373
Os1 Os 0.7702 0.7702 0.1296
Ho2 Ho 0.5023 0.5023 0.1734
Os2 Os 0.2298 0.2298 0.8704
Gd2 Gd 0.6850 0.6850 0.6138
```

Theoretical density = 10.46 g cm⁻³
Energy = -6.637 eV/atom

=====

Record 8
The following is a PBE calculation of a relaxed GdHoGe4Os2 crystal, from OQMD.

```
data_GdHoGe4Os2
_cell_length_a 4.4505
_cell_length_b 4.4344
_cell_length_c 8.3080
_cell_angle_alpha 90.00
_cell_angle_beta 104.43
_cell_angle_gamma 90.00
_symmetry_space_group_name_H-M 'P 1'
_symmetry_Int_Tables_number 1
loop_
_symmetry_equiv_pos_as_xyz
'x,y,z'
loop_
_atom_site_label
_atom_site_type_symbol
_atom_site_fract_x
_atom_site_fract_y
_atom_site_fract_z
Gd1 Gd 0.6126 0.0000 0.7081
Os1 Os 0.1092 0.5000 0.8830
Ge1 Ge 0.3239 0.0000 0.9942
Ge2 Ge 0.9589 0.0000 0.4138
Os2 Os 0.8944 0.0000 0.1183
Ho1 Ho 0.3822 0.5000 0.2890
Ge3 Ge 0.6791 0.5000 0.0075
Ge4 Ge 0.0397 0.5000 0.5860
```

Theoretical density = 10.39 g cm⁻³
Energy = -6.731 eV/atom